1.
Compound: CsC
Source: Alexandria
Functional: PBE
Structure: optimized geometry

Geometry as CIF:
```
data_CsC
_chemical_formula_sum 'Cs6 C6'
_cell_length_a 9.133
_cell_length_b 9.133
_cell_length_c 9.133
_cell_angle_alpha 90.00
_cell_angle_beta 90.00
_cell_angle_gamma 90.00
_space_group_name_H-M_alt 'P m -3 n'
_space_group_IT_number 223
_space_group_name_Hall '-P 4n 2 3'
loop_
_atom_site_label
_atom_site_fract_x
_atom_site_fract_y
_atom_site_fract_z
Cs1 0.000 0.250 0.500
C1 0.000 0.500 0.250
```

Values from the calculation:
Magnetization = 1.500 μB per atom
Crystal system = cubic
Energy of formation from the pure elements = 2328 meV/atom
Uncorrected energy = -2.71 eV/atom
Energy above the most stable polymorph in this dataset = 2.019 eV/atom


2.
Compound: Al2Cu3
Source: Alexandria
Functional: PBE
Structure: optimized geometry

Geometry as CIF:
```
data_Al2Cu3
_chemical_formula_sum 'Al2 Cu3'
_cell_length_a 4.0955
_cell_length_b 4.0955
_cell_length_c 5.0352
_cell_angle_alpha 90.00
_cell_angle_beta 90.00
_cell_angle_gamma 120.00
_space_group_name_H-M_alt 'P -3 m 1'
_space_group_IT_number 164
_space_group_name_Hall '-P 3 2"'
loop_
_atom_site_label
_atom_site_fract_x
_atom_site_fract_y
_atom_site_fract_z
Al1 0.3333 0.6667 0.3391
Cu1 0.0000 0.0000 0.5000
Cu2 0.3333 0.6667 0.8520
```

Values from the calculation:
Magnetization = 0.000 μB per atom
Crystal system = trigonal
Energy of formation from the pure elements = -49 meV/atom
Uncorrected energy = -4.00 eV/atom
Energy above the most stable polymorph in this dataset = 0.102 eV/atom


3.
Compound: Rb2LaDySe4
Source: Alexandria
Functional: PBE
Structure: optimized geometry

Geometry as CIF:
```
data_Rb2LaDySe4
_chemical_formula_sum 'Rb2 La1 Dy1 Se4'
_cell_length_a 7.547
_cell_length_b 4.355
_cell_length_c 8.388
_cell_angle_alpha 90.00
_cell_angle_beta 107.40
_cell_angle_gamma 90.00
_space_group_name_H-M_alt 'P 1 2/m 1'
_space_group_IT_number 10
_space_group_name_Hall '-P 2y'
loop_
_atom_site_label
_atom_site_fract_x
_atom_site_fract_y
_atom_site_fract_z
Rb1 0.000 0.000 0.000
Rb2 0.500 0.500 0.000
La1 0.000 0.500 0.500
Dy1 0.500 0.000 0.500
Se1 0.244 0.000 0.700
Se2 0.278 0.500 0.304
```

Values from the calculation:
Magnetization = 0.000 μB per atom
Crystal system = monoclinic
Uncorrected energy = -4.95 eV/atom